This record from Alexandria describes a geometry-optimized NaAc4Co3O12 structure. The functional is PBE with a Hubbard U.

```
data_NaAc4Co3O12
_chemical_formula_sum 'Na2 Ac8 Co6 O24'
_cell_length_a 7.977
_cell_length_b 7.977
_cell_length_c 7.977
_cell_angle_alpha 90.00
_cell_angle_beta 90.00
_cell_angle_gamma 90.00
_symmetry_space_group_name_H-M 'I m -3 m'
_symmetry_Int_Tables_number 229
_symmetry_space_group_name_Hall '-I 4 2 3'
loop_
_atom_site_label
_atom_site_type_symbol
_atom_site_fract_x
_atom_site_fract_y
_atom_site_fract_z
Na1 Na 0.000 0.000 0.000
Ac1 Ac 0.250 0.250 0.250
Co1 Co 0.000 0.000 0.500
O1 O 0.000 0.000 0.270
O2 O 0.000 0.250 0.500
```

Values from the calculation:
The calculated total energy is -6.79 eV per atom. The value obtained for the total magnetization is 0.503 μB per atom.